## SrSm2Zn (PBE-GGA)

Data for a relaxed structure of SrSm2Zn.

The structure in POSCAR format:
```
SrSm2Zn
1.0
-1.3810 -3.4759 -0.1279
0.3395 -2.0346 -3.1226
9.7605 -5.9927 2.7234
Zn Sm Sr
1 2 1
direct
0.5000 0.5000 0.5000 Zn
0.1056 0.1056 0.6831 Sm
0.8944 0.8944 0.3169 Sm
0.0000 0.0000 0.0000 Sr
```

Summary:
D(E_F)   1.5056 states/eV per atom
Calculated formation energy   0.1511 eV per atom
Offset from the most stable computed form   20.9 kJ/mol of atoms
Total magnetization   0.003 μB/f.u.